BiWCl2O | PBE+U | relaxed

The size of the total moment comes out at 0.4935 μB per atom. The calculation puts the total energy at -20.5 eV per cell.

The structure belongs to space group P4/mmm (No. 123); the cell edges are 5.8325, 5.8325 and 3.7468 Å and the angles 90.00°, 90.00° and 90.00°. The distinct sites, in fractional coordinates, are Bi at (0.0000, 0.0000, 0.0000), W at (0.5000, 0.5000, 0.0000), Cl at (0.0000, 0.5000, 0.5000) and O at (0.5000, 0.5000, 0.5000).